This record from Alexandria describes MnMoIr2 after structural relaxation. The functional is GGA-PBE.

```
MnMoIr2
1.0
6.098 -0.002 -0.006
-2.432 4.012 -0.002
1.234 0.752 2.333
Mo Ir Mn
1 2 1
Direct
0.500 0.500 0.000
0.000 0.000 0.000
0.500 0.000 0.500
0.000 0.500 0.500
```

Calculated values
- excess energy over the best structure of this formula in the dataset (meV per atom) = 63
- uncorrected energy (eV for the cell shown) = -38.5
- ΔE_f (meV per atom) = -191

---

This record from Alexandria describes Li2NbSi2 after structural relaxation. The functional is GGA-PBE.

```
Li2NbSi2
1.0
3.525 0.000 0.000
0.000 3.525 0.000
1.763 1.763 5.890
Nb Si Li
1 2 2
Direct
0.000 0.000 0.000
0.402 0.402 0.196
0.598 0.598 0.804
0.750 0.250 0.500
0.250 0.750 0.500
```

Calculated values
- excess energy over the best structure of this formula in the dataset (meV per atom) = 0
- uncorrected energy (eV for the cell shown) = -25.8
- uncorrected formation energy (meV/atom) = -210.5